{"formula": "LiVPt", "functional": "PBE", "state": "relaxed", "formation_enthalpy_0k_mev_per_atom": -207, "polymorph_energy_ev_per_fu": 0.00, "sg": "I4mm (107)", "final_energy_ev_per_cell": -17.7, "magnetic_moment_mub_per_cell": 1.453, "cell": [[-1.5916, 1.5916, 4.1352], [1.5916, -1.5916, 4.1352], [1.5916, 1.5916, -4.1352]], "species": ["Li", "V", "Pt"], "fractional_positions": [[0.0000, 0.0000, 0.0000], [0.6779, 0.6779, 0.0000], [0.3382, 0.3382, 0.0000]]}